1.
DFT (PBE) results for crystalline Li2TcRh2O6 at its relaxed geometry.

Calculated values
The uncorrected formation energy is -1192 meV per atom. Its crystal system is monoclinic.

```
Li2TcRh2O6
1.0
-1.759 4.798 1.455
-0.843 -1.730 -4.953
-3.294 -3.107 2.695
Li O Rh Tc
2 6 2 1
Cartesian
-1.599 3.651 0.329
-1.004 -0.583 -3.827
-2.843 -2.593 0.008
-2.745 0.349 -2.975
-4.366 0.080 -0.706
-3.054 2.554 -0.811
-1.531 -0.119 -0.097
-3.152 -0.388 2.172
-2.798 -1.093 -1.456
-3.099 1.054 0.652
-1.647 -1.554 1.347
```

2.
DFT (PBE) results for crystalline BaNa3O at its relaxed geometry.

Calculated values
The uncorrected formation energy is -322 meV per atom. As for the density of states at the Fermi level: 2.97 states/eV/f.u. Its crystal system is cubic.

```
BaNa3O
1.0
5.184 0.000 0.000
0.000 5.184 0.000
0.000 0.000 5.184
Na O Ba
3 1 1
Cartesian
0.000 0.000 2.592
0.000 2.592 0.000
2.592 0.000 0.000
0.000 0.000 0.000
2.592 2.592 2.592
```

3.
DFT (PBE) results for crystalline Ni2Pt2RhW at its relaxed geometry.

Calculated values
As for the density of states at the Fermi level: 6.36 states/eV/f.u. Its crystal system is orthorhombic.

```
Ni2Pt2RhW
1.0
3.763 0.000 0.000
0.000 5.414 0.000
0.000 0.000 8.224
Pt W Rh Ni
4 2 2 4
Cartesian
1.881 3.427 0.054
0.000 2.025 1.493
0.000 4.732 6.731
1.881 0.720 8.169
1.881 3.498 2.712
1.881 0.791 5.512
0.000 2.065 4.179
0.000 4.772 4.045
0.000 2.078 6.774
1.881 3.396 5.398
1.881 0.689 2.826
0.000 4.786 1.449
```

4.
DFT (PBE) results for crystalline KSnIr3 at its relaxed geometry.

Calculated values
As for the density of states at the Fermi level: 7.69 states/eV/f.u. Its crystal system is cubic.

```
KSnIr3
1.0
-4.059 -2.260 -1.150
2.238 -4.213 0.382
-1.192 -0.214 4.630
Sn Ir K
1 3 1
Cartesian
-1.507 -3.344 1.931
-0.596 -0.107 2.315
-2.030 -1.130 -0.575
1.119 -2.107 0.191
0.000 0.000 0.000
```

5.
DFT (PBE) results for crystalline BeVPS2 at its relaxed geometry.

Calculated values
The uncorrected formation energy is 587 meV per atom. As for the density of states at the Fermi level: 5.48 states/eV/f.u. Its crystal system is tetragonal.

```
BeVPS2
1.0
-0.672 -4.300 -0.357
2.705 -0.139 -3.425
3.118 -0.694 2.491
V S P Be
1 2 1 1
Cartesian
2.575 -2.566 -0.646
1.352 -0.069 -1.712
-0.336 -2.150 -0.179
1.559 -0.347 1.245
0.000 0.000 0.000
```

6.
DFT (PBE) results for crystalline RbNaCd at its relaxed geometry.

Calculated values
As for the density of states at the Fermi level: 1.29 states/eV/f.u. Its crystal system is monoclinic.

```
RbNaCd
1.0
4.882 0.002 -0.005
-0.003 7.553 -0.004
-2.441 -3.778 7.316
Rb Na Cd
2 2 2
Cartesian
-0.291 -1.021 2.375
2.152 2.756 3.897
-0.290 -2.801 6.795
-0.291 0.754 6.793
-0.291 2.754 0.931
2.151 -1.022 5.343
```

7.
DFT (PBE) results for crystalline Ho2Cd2Au3 at its relaxed geometry.

Calculated values
As for the density of states at the Fermi level: 2.62 states/eV/f.u. Its crystal system is monoclinic.

```
Ho2Cd2Au3
1.0
-0.828 -3.912 3.022
4.265 2.603 0.382
-4.050 6.204 2.768
Au Cd Ho
3 2 2
Cartesian
1.837 1.461 2.394
-2.450 3.435 3.778
0.000 0.000 0.000
0.635 3.137 4.238
-1.248 1.759 1.935
-0.951 5.887 3.207
0.338 -0.991 2.966
```

8.
DFT (PBE) results for crystalline Ta2CrTcP at its relaxed geometry.

Calculated values
As for the density of states at the Fermi level: 5.85 states/eV/f.u. Its crystal system is tetragonal.

```
Ta2CrTcP
1.0
4.625 0.000 0.000
0.000 4.345 0.000
0.000 0.000 4.625
Ta P Tc Cr
2 1 1 1
Cartesian
2.312 0.000 0.000
0.000 0.000 2.312
2.312 2.172 2.312
0.000 2.172 0.000
0.000 0.000 0.000
```

9.
DFT (PBE) results for crystalline Pm2GeCl at its relaxed geometry.

Calculated values
The uncorrected formation energy is -1253 meV per atom. As for the density of states at the Fermi level: 2.05 states/eV/f.u. Its crystal system is trigonal.

```
Pm2GeCl
1.0
-3.856 1.734 0.510
-1.875 -0.064 3.823
0.975 6.526 2.960
Pm Cl Ge
2 1 1
Cartesian
-1.250 1.921 1.791
-3.505 6.274 5.502
-2.378 4.098 3.647
0.000 0.000 0.000
```

10.
DFT (PBE) results for crystalline MoAs3Pd at its relaxed geometry.

Calculated values
As for the density of states at the Fermi level: 3.52 states/eV/f.u. Its crystal system is cubic.

```
MoAs3Pd
1.0
-1.723 -1.666 4.209
3.047 -3.758 -0.240
3.348 2.563 2.385
As Mo Pd
3 1 1
Cartesian
1.524 -1.879 -0.120
1.674 1.281 1.192
-0.861 -0.833 2.105
0.000 0.000 0.000
2.336 -1.430 3.177
```

11.
DFT (PBE) results for crystalline SnPIF2 at its relaxed geometry.

Calculated values
The uncorrected formation energy is -1064 meV per atom. As for the density of states at the Fermi level: 1.56 states/eV/f.u. Its crystal system is tetragonal.

```
SnPIF2
1.0
4.308 0.000 0.000
0.000 5.561 0.000
0.000 0.000 4.308
F Sn P I
2 1 1 1
Cartesian
2.154 0.000 0.000
0.000 0.000 2.154
0.000 0.000 0.000
0.000 2.781 0.000
2.154 2.781 2.154
```

no.,total DFT energy (no corrections) (eV per atom)
1,-6.52
2,-2.49
3,-7.49
4,-3.59
5,-4.71
6,-1.09
7,-3.58
8,-8.67
9,-5.24
10,-5.44
11,-4.00